1.
# AgSnF2 (PBE, optimized geometry)
# density	6.79	g/cm³
# E	-3.727	eV/atom
# D(E_F)	0.89	states/eV per atom
# polymorph energy (0 for the lowest one)	16.7	kJ per mole of atoms
# ΔE_f (raw)	-1.08	eV/atom
data_AgSnF2
_chemical_formula_sum 'Ag4 Sn4 F8'
_cell_length_a 6.3742
_cell_length_b 6.3742
_cell_length_c 6.3742
_cell_angle_alpha 90.00
_cell_angle_beta 90.00
_cell_angle_gamma 90.00
_symmetry_space_group_name_H-M 'F m -3 m'
_symmetry_Int_Tables_number 225
_symmetry_space_group_name_Hall '-F 4 2 3'
loop_
_atom_site_label
_atom_site_type_symbol
_atom_site_fract_x
_atom_site_fract_y
_atom_site_fract_z
_atom_site_occupancy
Ag1 Ag 0.0000 0.0000 0.0000 1
Sn1 Sn 0.0000 0.0000 0.5000 1
F1 F 0.2500 0.2500 0.2500 1

2.
# GaCuSe2 (PBE, optimized geometry)
# density	6.43	g/cm³
# E	-3.762	eV/atom
# D(E_F)	0.37	states/eV per atom
# ΔE_f (raw)	-0.24	eV/atom
data_GaCuSe2
_chemical_formula_sum 'Ga1 Cu1 Se2'
_cell_length_a 3.7866
_cell_length_b 3.7866
_cell_length_c 5.2410
_cell_angle_alpha 90.00
_cell_angle_beta 90.00
_cell_angle_gamma 90.00
_symmetry_space_group_name_H-M 'P 4/m m m'
_symmetry_Int_Tables_number 123
_symmetry_space_group_name_Hall '-P 4 2'
loop_
_atom_site_label
_atom_site_type_symbol
_atom_site_fract_x
_atom_site_fract_y
_atom_site_fract_z
_atom_site_occupancy
Ga1 Ga 0.0000 0.0000 0.0000 1
Cu1 Cu 0.5000 0.5000 0.5000 1
Se1 Se 0.0000 0.0000 0.5000 1
Se2 Se 0.5000 0.5000 0.0000 1

3.
# Mg4HgPb2 (PBE, optimized geometry)
# density	6.52	g/cm³
# E	-2.048	eV/atom
# D(E_F)	0.32	states/eV per atom
# polymorph energy (0 for the lowest one)	0.0	kJ per mole of atoms
# energy of formation from the pure elements	-23	kJ/mol of formula units
data_Mg4HgPb2
_chemical_formula_sum 'Mg8 Hg2 Pb4'
_cell_length_a 6.9865
_cell_length_b 6.9865
_cell_length_c 7.4314
_cell_angle_alpha 90.00
_cell_angle_beta 90.00
_cell_angle_gamma 90.00
_symmetry_space_group_name_H-M 'I 4/m m m'
_symmetry_Int_Tables_number 139
_symmetry_space_group_name_Hall '-I 4 2'
loop_
_atom_site_label
_atom_site_type_symbol
_atom_site_fract_x
_atom_site_fract_y
_atom_site_fract_z
_atom_site_occupancy
Mg1 Mg 0.2500 0.2500 0.2500 1
Hg1 Hg 0.0000 0.0000 0.0000 1
Pb1 Pb 0.0000 0.5000 0.0000 1

4.
# La5Pr4Th2 (PBE, optimized geometry)
# density	7.24	g/cm³
# E	-5.217	eV/atom
# D(E_F)	1.77	states/eV per atom
# energy of formation from the pure elements	117	kJ/mol of formula units
data_La5Pr4Th2
_chemical_formula_sum 'La5 Pr4 Th2'
_cell_length_a 9.1720
_cell_length_b 3.5593
_cell_length_c 12.1382
_cell_angle_alpha 90.00
_cell_angle_beta 94.07
_cell_angle_gamma 90.00
_symmetry_space_group_name_H-M 'P 1 2/m 1'
_symmetry_Int_Tables_number 10
loop_
_symmetry_equiv_pos_as_xyz
'x,y,z'
'-x,-y,-z'
'-x,y,-z'
'x,-y,z'
loop_
_atom_site_label
_atom_site_type_symbol
_atom_site_fract_x
_atom_site_fract_y
_atom_site_fract_z
_atom_site_occupancy
La1 La 0.0000 0.0000 0.0000 1
La2 La 0.0852 0.0000 0.2855 1
La3 La 0.3048 0.0000 0.8245 1
Pr1 Pr 0.1994 0.5000 0.5489 1
Pr2 Pr 0.3463 0.5000 0.1028 1
Th1 Th 0.4505 0.0000 0.3703 1

5.
# Ta3AlGe (PBE, optimized geometry)
# density	12.00	g/cm³
# E	-8.792	eV/atom
# D(E_F)	0.56	states/eV per atom
# polymorph energy (0 for the lowest one)	0.0	kJ per mole of atoms
# energy of formation from the pure elements	-4	kJ/mol of formula units
data_Ta3AlGe
_chemical_formula_sum 'Ta24 Al8 Ge8'
_cell_length_a 12.8391
_cell_length_b 5.5906
_cell_length_c 9.9159
_cell_angle_alpha 90.00
_cell_angle_beta 92.43
_cell_angle_gamma 90.00
_symmetry_space_group_name_H-M 'C 1 2/c 1'
_symmetry_Int_Tables_number 15
loop_
_symmetry_equiv_pos_as_xyz
'x,y,z'
'-x,-y,-z'
'-x,y,-z+1/2'
'x,-y,z+1/2'
'x+1/2,y+1/2,z'
'-x+1/2,-y+1/2,-z'
'-x+1/2,y+1/2,-z+1/2'
'x+1/2,-y+1/2,z+1/2'
loop_
_atom_site_label
_atom_site_type_symbol
_atom_site_fract_x
_atom_site_fract_y
_atom_site_fract_z
_atom_site_occupancy
Ta1 Ta 0.0546 0.2409 0.0856 1
Ta2 Ta 0.1105 0.0100 0.8204 1
Ta3 Ta 0.1917 0.4666 0.2941 1
Al1 Al 0.1468 0.2624 0.5593 1
Ge1 Ge 0.0000 0.3885 0.7500 1
Ge2 Ge 0.2500 0.2500 0.0000 1

6.
# BaP3Pb (PBE, optimized geometry)
# density	4.91	g/cm³
# E	-4.000	eV/atom
# D(E_F)	1.34	states/eV per atom
# polymorph energy (0 for the lowest one)	0.0	kJ per mole of atoms
# energy of formation from the pure elements	179	kJ/mol of formula units
data_BaP3Pb
_chemical_formula_sum 'Ba1 P3 Pb1'
_cell_length_a 5.2905
_cell_length_b 5.2905
_cell_length_c 5.2905
_cell_angle_alpha 90.00
_cell_angle_beta 90.00
_cell_angle_gamma 90.00
_symmetry_space_group_name_H-M 'P m -3 m'
_symmetry_Int_Tables_number 221
_symmetry_space_group_name_Hall '-P 4 2 3'
loop_
_atom_site_label
_atom_site_type_symbol
_atom_site_fract_x
_atom_site_fract_y
_atom_site_fract_z
_atom_site_occupancy
Ba1 Ba 0.0000 0.0000 0.0000 1
P1 P 0.0000 0.5000 0.5000 1
Pb1 Pb 0.5000 0.5000 0.5000 1

7.
# TaMn2Fe (PBE, optimized geometry)
# density	11.11	g/cm³
# E	-9.603	eV/atom
# D(E_F)	1.39	states/eV per atom
# energy of formation from the pure elements	23	kJ/mol of formula units
data_TaMn2Fe
_chemical_formula_sum 'Ta2 Mn4 Fe2'
_cell_length_a 9.2852
_cell_length_b 2.9825
_cell_length_c 4.1858
_cell_angle_alpha 90.00
_cell_angle_beta 116.61
_cell_angle_gamma 90.00
_symmetry_space_group_name_H-M 'C 1 2/m 1'
_symmetry_Int_Tables_number 12
loop_
_symmetry_equiv_pos_as_xyz
'x,y,z'
'-x,-y,-z'
'-x,y,-z'
'x,-y,z'
'x+1/2,y+1/2,z'
'-x+1/2,-y+1/2,-z'
'-x+1/2,y+1/2,-z'
'x+1/2,-y+1/2,z'
loop_
_atom_site_label
_atom_site_type_symbol
_atom_site_fract_x
_atom_site_fract_y
_atom_site_fract_z
_atom_site_occupancy
Ta1 Ta 0.0000 0.0000 0.0000 1
Mn1 Mn 0.2414 0.0000 0.7408 1
Fe1 Fe 0.0000 0.5000 0.5000 1

8.
# SmZr2 (PBE, optimized geometry)
# density	7.03	g/cm³
# E	-7.152	eV/atom
# D(E_F)	1.40	states/eV per atom
# polymorph energy (0 for the lowest one)	0.0	kJ per mole of atoms
# energy of formation from the pure elements	35	kJ/mol of formula units
data_SmZr2
_chemical_formula_sum 'Sm2 Zr4'
_cell_length_a 3.2393
_cell_length_b 3.2393
_cell_length_c 14.9909
_cell_angle_alpha 90.00
_cell_angle_beta 90.00
_cell_angle_gamma 90.00
_symmetry_space_group_name_H-M 'I 4/m m m'
_symmetry_Int_Tables_number 139
_symmetry_space_group_name_Hall '-I 4 2'
loop_
_atom_site_label
_atom_site_type_symbol
_atom_site_fract_x
_atom_site_fract_y
_atom_site_fract_z
_atom_site_occupancy
Sm1 Sm 0.0000 0.0000 0.0000 1
Zr1 Zr 0.0000 0.0000 0.3223 1

Summary of M_tot in μB per cell
0.00; 0.00; 0.00; 0.00; 0.00; 0.00; 8.22; 0.00
(order as listed above)